1.
# SCAN NaNiSbN2, PBEsol geometry
data_NaNiSbN2
_chemical_formula_sum 'Na1 Ni1 Sb1 N2'
_symmetry_space_group_name_H-M 'P 4/m m m'
_symmetry_Int_Tables_number 123
_symmetry_space_group_name_Hall '-P 4 2'
_cell_length_a 3.824
_cell_length_b 3.824
_cell_length_c 5.098
_cell_angle_alpha 90.00
_cell_angle_beta 90.00
_cell_angle_gamma 90.00
loop_
_atom_site_label
_atom_site_fract_x
_atom_site_fract_y
_atom_site_fract_z
Na1 0.000 0.000 0.000
Ni1 0.500 0.500 0.500
Sb1 0.500 0.500 0.000
N1 0.000 0.500 0.500
# calculated total energy	-70.93	eV/cell
# size of the total moment	3.558	μB per formula unit
# DOS(E_F)	1.7	states/eV/f.u.

2.
# SCAN BeTcP2, PBEsol geometry
data_BeTcP2
_chemical_formula_sum 'Be1 Tc1 P2'
_symmetry_space_group_name_H-M 'P 1 2/m 1'
_symmetry_Int_Tables_number 10
_cell_length_a 2.996
_cell_length_b 2.974
_cell_length_c 5.574
_cell_angle_alpha 90.00
_cell_angle_beta 100.45
_cell_angle_gamma 90.00
loop_
_symmetry_equiv_pos_as_xyz
'x,y,z'
'-x,-y,-z'
'-x,y,-z'
'x,-y,z'
loop_
_atom_site_label
_atom_site_fract_x
_atom_site_fract_y
_atom_site_fract_z
Be1 0.000 0.000 0.000
Tc1 0.000 0.000 0.500
P1 0.417 0.500 0.250
# calculated formation energy	-26	meV/atom
# size of the total moment	0.000	μB per formula unit
# DOS(E_F)	1.6	states/eV/f.u.

3.
# SCAN FeTe2Os, PBEsol geometry
data_FeTe2Os
_chemical_formula_sum 'Fe1 Te2 Os1'
_symmetry_space_group_name_H-M 'P 4/m m m'
_symmetry_Int_Tables_number 123
_symmetry_space_group_name_Hall '-P 4 2'
_cell_length_a 4.635
_cell_length_b 4.635
_cell_length_c 3.228
_cell_angle_alpha 90.00
_cell_angle_beta 90.00
_cell_angle_gamma 90.00
loop_
_atom_site_label
_atom_site_fract_x
_atom_site_fract_y
_atom_site_fract_z
Fe1 0.000 0.000 0.000
Te1 0.000 0.500 0.500
Os1 0.500 0.500 0.000
# calculated total energy	-161.81	eV/cell
# size of the total moment	2.720	μB per formula unit
# DOS(E_F)	2.7	states/eV/f.u.

4.
# SCAN Li2SbP5O15, PBEsol geometry
data_Li2SbP5O15
_chemical_formula_sum 'Li4 Sb2 P10 O30'
_symmetry_space_group_name_H-M 'P 1 21/m 1'
_symmetry_Int_Tables_number 11
_cell_length_a 5.371
_cell_length_b 14.946
_cell_length_c 8.034
_cell_angle_alpha 90.00
_cell_angle_beta 98.75
_cell_angle_gamma 90.00
loop_
_symmetry_equiv_pos_as_xyz
'x,y,z'
'-x,-y,-z'
'-x,y+1/2,-z'
'x,-y+1/2,z'
loop_
_atom_site_label
_atom_site_fract_x
_atom_site_fract_y
_atom_site_fract_z
Li1 0.128 0.159 0.164
Sb1 0.500 0.000 0.500
P1 0.011 0.150 0.524
P2 0.323 0.098 0.853
P3 0.410 0.750 0.967
O1 0.027 0.250 0.459
O2 0.140 0.750 0.889
O3 0.150 0.158 0.710
O4 0.159 0.096 0.412
O5 0.181 0.081 0.992
O6 0.260 0.624 0.478
O7 0.387 0.250 0.143
O8 0.422 0.021 0.762
O9 0.446 0.666 0.096
# calculated total energy	-479.75	eV/cell
# size of the total moment	0.000	μB per formula unit
# DOS(E_F)	0.0	states/eV/f.u.

5.
# SCAN RbScOF2, PBEsol geometry
data_RbScOF2
_chemical_formula_sum 'Rb1 Sc1 O1 F2'
_symmetry_space_group_name_H-M 'P 4/m m m'
_symmetry_Int_Tables_number 123
_symmetry_space_group_name_Hall '-P 4 2'
_cell_length_a 4.259
_cell_length_b 4.259
_cell_length_c 4.002
_cell_angle_alpha 90.00
_cell_angle_beta 90.00
_cell_angle_gamma 90.00
loop_
_atom_site_label
_atom_site_fract_x
_atom_site_fract_y
_atom_site_fract_z
Rb1 0.000 0.000 0.000
Sc1 0.500 0.500 0.500
O1 0.500 0.500 0.000
F1 0.000 0.500 0.500
# calculated total energy	-65.91	eV/cell
# size of the total moment	0.000	μB per formula unit
# DOS(E_F)	0.0	states/eV/f.u.

6.
# SCAN Ce3Cu4Sn4, PBEsol geometry
data_Ce3Cu4Sn4
_chemical_formula_sum 'Ce6 Cu8 Sn8'
_symmetry_space_group_name_H-M 'I m m m'
_symmetry_Int_Tables_number 71
_symmetry_space_group_name_Hall '-I 2 2'
_cell_length_a 4.557
_cell_length_b 6.830
_cell_length_c 14.703
_cell_angle_alpha 90.00
_cell_angle_beta 90.00
_cell_angle_gamma 90.00
loop_
_atom_site_label
_atom_site_fract_x
_atom_site_fract_y
_atom_site_fract_z
Ce1 0.000 0.000 0.000
Ce2 0.000 0.500 0.133
Cu1 0.000 0.316 0.331
Sn1 0.000 0.000 0.216
Sn2 0.000 0.203 0.500
# calculated formation energy	-535	meV/atom
# size of the total moment	2.529	μB per formula unit
# DOS(E_F)	8.9	states/eV/f.u.

7.
# SCAN SrLi3I, PBEsol geometry
data_SrLi3I
_chemical_formula_sum 'Sr1 Li3 I1'
_symmetry_space_group_name_H-M 'P m -3 m'
_symmetry_Int_Tables_number 221
_symmetry_space_group_name_Hall '-P 4 2 3'
_cell_length_a 5.494
_cell_length_b 5.494
_cell_length_c 5.494
_cell_angle_alpha 90.00
_cell_angle_beta 90.00
_cell_angle_gamma 90.00
loop_
_atom_site_label
_atom_site_fract_x
_atom_site_fract_y
_atom_site_fract_z
Sr1 0.000 0.000 0.000
Li1 0.000 0.500 0.500
I1 0.500 0.500 0.500
# calculated total energy	-67.08	eV/cell
# size of the total moment	0.003	μB per formula unit
# DOS(E_F)	3.8	states/eV/f.u.

8.
# SCAN KZrP2, PBEsol geometry
data_KZrP2
_chemical_formula_sum 'K2 Zr2 P4'
_symmetry_space_group_name_H-M 'I 4/m m m'
_symmetry_Int_Tables_number 139
_symmetry_space_group_name_Hall '-I 4 2'
_cell_length_a 4.743
_cell_length_b 4.743
_cell_length_c 6.870
_cell_angle_alpha 90.00
_cell_angle_beta 90.00
_cell_angle_gamma 90.00
loop_
_atom_site_label
_atom_site_fract_x
_atom_site_fract_y
_atom_site_fract_z
K1 0.000 0.000 0.000
Zr1 0.000 0.000 0.500
P1 0.000 0.500 0.250
# calculated formation energy	-199	meV/atom
# size of the total moment	0.000	μB per formula unit
# DOS(E_F)	1.4	states/eV/f.u.

9.
# SCAN CaUO4, PBEsol geometry
data_CaUO4
_chemical_formula_sum 'Ca3 U3 O12'
_symmetry_space_group_name_H-M 'R -3 m'
_symmetry_Int_Tables_number 166
_symmetry_space_group_name_Hall '-R 3 2"'
_cell_length_a 3.8438
_cell_length_b 3.8438
_cell_length_c 17.6202
_cell_angle_alpha 90.00
_cell_angle_beta 90.00
_cell_angle_gamma 120.00
loop_
_atom_site_label
_atom_site_fract_x
_atom_site_fract_y
_atom_site_fract_z
Ca1 0.0000 0.0000 0.0000
U1 0.0000 0.0000 0.5000
O1 0.0000 0.0000 0.1375
O2 0.0000 0.0000 0.3880
# calculated total energy	-476.78	eV/cell
# size of the total moment	0.000	μB per formula unit
# DOS(E_F)	0.0	states/eV/f.u.

10.
# SCAN YZr2Te, PBEsol geometry
data_YZr2Te
_chemical_formula_sum 'Y2 Zr4 Te2'
_symmetry_space_group_name_H-M 'A m m 2'
_symmetry_Int_Tables_number 38
_cell_length_a 4.717
_cell_length_b 3.667
_cell_length_c 11.102
_cell_angle_alpha 90.00
_cell_angle_beta 90.00
_cell_angle_gamma 90.00
loop_
_symmetry_equiv_pos_as_xyz
'x,y,z'
'-x,-y,z'
'-x,y,z'
'x,-y,z'
'x,y+1/2,z+1/2'
'-x,-y+1/2,z+1/2'
'-x,y+1/2,z+1/2'
'x,-y+1/2,z+1/2'
loop_
_atom_site_label
_atom_site_fract_x
_atom_site_fract_y
_atom_site_fract_z
Y1 0.000 0.000 0.000
Zr1 0.000 0.000 0.736
Zr2 0.500 0.000 0.290
Te1 0.500 0.000 0.572
# calculated total energy	-256.80	eV/cell
# size of the total moment	0.028	μB per formula unit
# DOS(E_F)	3.3	states/eV/f.u.

11.
# SCAN Mo2WSe, PBEsol geometry
data_Mo2WSe
_chemical_formula_sum 'Mo4 W2 Se2'
_symmetry_space_group_name_H-M 'I -4 m 2'
_symmetry_Int_Tables_number 119
_symmetry_space_group_name_Hall 'I -4 -2'
_cell_length_a 3.683
_cell_length_b 3.683
_cell_length_c 9.073
_cell_angle_alpha 90.00
_cell_angle_beta 90.00
_cell_angle_gamma 90.00
loop_
_atom_site_label
_atom_site_fract_x
_atom_site_fract_y
_atom_site_fract_z
Mo1 0.000 0.000 0.000
Mo2 0.000 0.500 0.250
W1 0.000 0.500 0.750
Se1 0.000 0.000 0.500
# calculated total energy	-314.65	eV/cell
# size of the total moment	0.415	μB per formula unit
# DOS(E_F)	2.8	states/eV/f.u.

12.
# SCAN ErCd2, PBEsol geometry
data_ErCd2
_chemical_formula_sum 'Er1 Cd2'
_symmetry_space_group_name_H-M 'P 6/m m m'
_symmetry_Int_Tables_number 191
_symmetry_space_group_name_Hall '-P 6 2'
_cell_length_a 4.8471
_cell_length_b 4.8471
_cell_length_c 3.3431
_cell_angle_alpha 90.00
_cell_angle_beta 90.00
_cell_angle_gamma 120.00
loop_
_atom_site_label
_atom_site_fract_x
_atom_site_fract_y
_atom_site_fract_z
Er1 0.0000 0.0000 0.0000
Cd1 0.3333 0.6667 0.5000
# calculated formation energy	-392	meV/atom
# size of the total moment	0.142	μB per formula unit
# DOS(E_F)	1.7	states/eV/f.u.